Density functional theory data (GGA-PBE) for PmTaBi2O8 after structural relaxation.

- M_tot: 0.00 μB/cell
- Raw formation energy: -2029 meV per atom

Cell lengths 7.1677, 7.2631, 6.9581 Å; angles 90.00, 90.00, 90.00 degrees
Last column: nearest neighbours and their distance in Å.
Space group Cmmm (No. 65)
Unique sites:
Pm: 0.0000 0.0000 0.0000 [2 per cell]  6 O 2.32-2.38
Ta: 0.0000 0.0000 0.5000 [2 per cell]  6 O 2.00-2.06
Bi: 0.0000 0.5000 0.2574 [4 per cell]  6 O 2.22-2.31
O: 0.0000 0.2832 0.5000 [4 per cell]  1 Ta 2.06
O: 0.0000 0.3188 0.0000 [4 per cell]  2 Bi 2.22, 1 Pm 2.32
O: 0.1843 0.0000 0.2842 [8 per cell]  1 Ta 2.00